1.
Material: AlSnI2O
Method: DFT, PBE
State: relaxed

Cell: 5.994 5.994 3.527 Å, 90.00 90.00 90.00°
Sites, in units of the cell vectors:
Al: 0.000 0.000 0.000
Sn: 0.500 0.500 0.500
I: 0.000 0.500 0.000
I: 0.500 0.000 0.000
O: 0.000 0.000 0.500

Computed properties:
Total magnetic moment, μB per atom: 0.000
E above lowest polymorph, kJ/mol of formula units: 0
Formation energy (no corrections), eV/atom: -0.766
Volume, Å³/atom: 25.347
E, eV/atom: -3.927

2.
Material: Mg15AlPb4
Method: DFT, PBE
State: relaxed

Cell: 4.459 4.459 23.402 Å, 90.00 90.00 90.00°
Sites, in units of the cell vectors:
Mg: 0.500 0.500 0.195
Mg: 0.000 0.500 0.500
Mg: 0.500 0.000 0.500
Mg: 0.500 0.500 0.805
Mg: 0.500 0.000 0.703
Mg: 0.000 0.500 0.703
Mg: 0.500 0.500 0.602
Mg: 0.500 0.000 0.908
Mg: 0.000 0.500 0.092
Mg: 0.500 0.500 0.000
Mg: 0.500 0.000 0.297
Mg: 0.000 0.500 0.908
Mg: 0.500 0.500 0.398
Mg: 0.000 0.500 0.297
Mg: 0.500 0.000 0.092
Pb: 0.000 0.000 0.601
Pb: 0.000 0.000 0.805
Pb: 0.000 0.000 0.195
Pb: 0.000 0.000 0.399
Al: 0.000 0.000 0.000

Computed properties:
Total magnetic moment, μB per atom: 0.000
Volume, Å³/atom: 23.265
Energy of formation from the pure elements, eV/atom: -0.031
E, eV/atom: -2.156

3.
Material: RbCuH6Rh
Method: DFT, PBE
State: relaxed

Cell: 4.710 4.708 5.829 Å, 90.00 90.00 59.99°
Sites, in units of the cell vectors:
Rh: 0.333 0.334 0.500
Rb: 0.000 0.000 0.000
Cu: 0.667 0.667 0.500
H: 0.558 0.428 0.675
H: 0.014 0.428 0.325
H: 0.558 0.014 0.325
H: 0.013 0.558 0.675
H: 0.428 0.014 0.675
H: 0.429 0.558 0.325

Computed properties:
Total magnetic moment, μB per atom: 0.000
Volume, Å³/atom: 12.436
E, eV/atom: -3.666

4.
Material: Tm3TeC
Method: DFT, PBE
State: relaxed

Cell: 4.830 6.253 8.995 Å, 107.45 90.00 112.72°
Sites, in units of the cell vectors:
Te: 0.402 0.804 0.619
Te: 0.598 0.196 0.381
C: 0.872 0.744 0.081
C: 0.128 0.256 0.919
Tm: 0.352 0.704 0.066
Tm: 0.094 0.188 0.173
Tm: 0.906 0.812 0.827
Tm: 0.858 0.715 0.339
Tm: 0.142 0.285 0.661
Tm: 0.648 0.296 0.934

Computed properties:
Total magnetic moment, μB per atom: 0.147
E above lowest polymorph, kJ/mol of formula units: 1
Formation energy (no corrections), eV/atom: -0.584
Volume, Å³/atom: 23.696
E, eV/atom: -5.740

5.
Material: Tb4Nd7Ho
Method: DFT, PBE
State: relaxed

Cell: 6.060 11.746 6.784 Å, 83.56 63.47 75.05°
Sites, in units of the cell vectors:
Tb: 0.357 0.777 0.510
Tb: 0.643 0.223 0.490
Tb: 0.241 0.322 0.195
Tb: 0.759 0.678 0.805
Nd: 0.631 0.499 0.240
Nd: 0.500 0.000 0.000
Nd: 0.369 0.501 0.760
Nd: 0.789 0.921 0.501
Nd: 0.938 0.319 0.804
Nd: 0.211 0.079 0.499
Nd: 0.062 0.681 0.196
Ho: 0.000 0.000 0.000

Computed properties:
Total magnetic moment, μB per atom: 0.000
E above lowest polymorph, kJ/mol of formula units: 288
Volume, Å³/atom: 34.787
Energy of formation from the pure elements, eV/atom: 0.255
E, eV/atom: -4.451

6.
Material: Sm2Ho4Tm5
Method: DFT, PBE
State: relaxed

Cell: 3.472 8.933 12.459 Å, 111.01 98.01 90.00°
Sites, in units of the cell vectors:
Tm: 0.858 0.053 0.716
Tm: 0.858 0.664 0.716
Tm: 0.142 0.947 0.284
Tm: 0.500 0.000 0.000
Tm: 0.142 0.336 0.284
Sm: 0.732 0.732 0.465
Sm: 0.268 0.268 0.535
Ho: 0.000 0.309 0.000
Ho: 0.000 0.691 0.000
Ho: 0.403 0.403 0.806
Ho: 0.597 0.597 0.194

Computed properties:
Total magnetic moment, μB per atom: 0.000
E above lowest polymorph, kJ/mol of formula units: 220
Volume, Å³/atom: 32.424
Energy of formation from the pure elements, eV/atom: 0.229
E, eV/atom: -4.326

7.
Material: LaY2MgTc
Method: DFT, PBE
State: relaxed

Cell: 5.476 5.476 5.335 Å, 90.00 90.00 90.00°
Sites, in units of the cell vectors:
Mg: 0.500 0.500 0.500
Y: 0.000 0.500 0.000
Y: 0.500 0.000 0.000
La: 0.000 0.000 0.500
Tc: 0.000 0.000 0.000

Computed properties:
Total magnetic moment, μB per atom: 0.000
E above lowest polymorph, kJ/mol of formula units: 0
Volume, Å³/atom: 32.001
Energy of formation from the pure elements, eV/atom: 0.085
E, eV/atom: -5.878

8.
Material: CuSi2
Method: DFT, PBE
State: relaxed

Cell: 2.644 2.644 13.531 Å, 90.00 90.00 120.00°
Sites, in units of the cell vectors:
Si: 0.000 0.000 0.907
Si: 0.000 0.000 0.093
Si: 0.000 0.000 0.593
Si: 0.000 0.000 0.407
Cu: 0.667 0.333 0.750
Cu: 0.333 0.667 0.250

Computed properties:
Total magnetic moment, μB per atom: 0.000
Formation energy (no corrections), eV/atom: 0.245
Volume, Å³/atom: 13.651
E, eV/atom: -4.736